(1)
Compound: PrEuGdAg
Source: Alexandria via LeMat-Bulk
Functional: PBE-GGA
Structure: relaxed

Summary:
Volume in Å³ per atom: 29.38
Space group: F-43m
Magnetic moment in μB/f.u.: 15.6
D(E_F) in states/eV/cell: 23.29
Density in g/cm³: 7.9
ΔH_f (0 K) in eV/atom: 0.067

Lattice parameters (Å, degrees): 7.776 7.776 7.776 90.00 90.00 90.00
Fractional coordinates of all 16 atoms:
Pr 0.000 0.000 0.000
Pr 0.000 0.500 0.500
Pr 0.500 0.000 0.500
Pr 0.500 0.500 0.000
Eu 0.250 0.250 0.750
Eu 0.250 0.750 0.250
Eu 0.750 0.250 0.250
Eu 0.750 0.750 0.750
Gd 0.000 0.000 0.500
Gd 0.000 0.500 0.000
Gd 0.500 0.000 0.000
Gd 0.500 0.500 0.500
Ag 0.250 0.250 0.250
Ag 0.250 0.750 0.750
Ag 0.750 0.250 0.750
Ag 0.750 0.750 0.250

(2)
Compound: EuGdAgRh
Source: Alexandria via LeMat-Bulk
Functional: PBE-GGA
Structure: relaxed

Summary:
Volume in Å³ per atom: 23.23
Space group: F-43m
Magnetic moment in μB/f.u.: 0.0
D(E_F) in states/eV/cell: 28.50
Density in g/cm³: 9.3
ΔH_f (0 K) in eV/atom: -0.415

Lattice parameters (Å, degrees): 7.190 7.190 7.190 90.00 90.00 90.00
Fractional coordinates of all 16 atoms:
Eu 0.000 0.000 0.000
Eu 0.000 0.500 0.500
Eu 0.500 0.000 0.500
Eu 0.500 0.500 0.000
Gd 0.000 0.000 0.500
Gd 0.000 0.500 0.000
Gd 0.500 0.000 0.000
Gd 0.500 0.500 0.500
Ag 0.250 0.250 0.250
Ag 0.250 0.750 0.750
Ag 0.750 0.250 0.750
Ag 0.750 0.750 0.250
Rh 0.250 0.250 0.750
Rh 0.250 0.750 0.250
Rh 0.750 0.250 0.250
Rh 0.750 0.750 0.750

(3)
Compound: EuGdAgRu
Source: Alexandria via LeMat-Bulk
Functional: PBE-GGA
Structure: relaxed

Summary:
Volume in Å³ per atom: 22.82
Space group: F-43m
Magnetic moment in μB/f.u.: 0.2
D(E_F) in states/eV/cell: 47.89
Density in g/cm³: 9.4
ΔH_f (0 K) in eV/atom: -0.119

Lattice parameters (Å, degrees): 7.147 7.147 7.147 90.00 90.00 90.00
Fractional coordinates of all 16 atoms:
Eu 0.000 0.000 0.000
Eu 0.000 0.500 0.500
Eu 0.500 0.000 0.500
Eu 0.500 0.500 0.000
Gd 0.000 0.000 0.500
Gd 0.000 0.500 0.000
Gd 0.500 0.000 0.000
Gd 0.500 0.500 0.500
Ag 0.250 0.250 0.750
Ag 0.250 0.750 0.250
Ag 0.750 0.250 0.250
Ag 0.750 0.750 0.750
Ru 0.250 0.250 0.250
Ru 0.250 0.750 0.750
Ru 0.750 0.250 0.750
Ru 0.750 0.750 0.250

(4)
Compound: EuGdAgSn
Source: Alexandria via LeMat-Bulk
Functional: PBE-GGA
Structure: relaxed

Summary:
Volume in Å³ per atom: 27.46
Space group: F-43m
Magnetic moment in μB/f.u.: 14.2
D(E_F) in states/eV/cell: 47.42
Density in g/cm³: 8.1
ΔH_f (0 K) in eV/atom: -0.533

Lattice parameters (Å, degrees): 7.602 7.602 7.602 90.00 90.00 90.00
Fractional coordinates of all 16 atoms:
Eu 0.000 0.000 0.000
Eu 0.000 0.500 0.500
Eu 0.500 0.000 0.500
Eu 0.500 0.500 0.000
Gd 0.000 0.000 0.500
Gd 0.000 0.500 0.000
Gd 0.500 0.000 0.000
Gd 0.500 0.500 0.500
Ag 0.250 0.250 0.250
Ag 0.250 0.750 0.750
Ag 0.750 0.250 0.750
Ag 0.750 0.750 0.250
Sn 0.250 0.250 0.750
Sn 0.250 0.750 0.250
Sn 0.750 0.250 0.250
Sn 0.750 0.750 0.750

(5)
Compound: EuAgGe4
Source: Alexandria via LeMat-Bulk
Functional: PBE-GGA
Structure: relaxed

Summary:
Volume in Å³ per atom: 21.23
Space group: F-43m
Magnetic moment in μB/f.u.: 6.7
D(E_F) in states/eV/cell: 7.99
Density in g/cm³: 7.2
ΔH_f (0 K) in eV/atom: -0.051

Lattice parameters (Å, degrees): 5.648 5.648 5.648 60.00 60.00 60.00
Fractional coordinates of all 6 atoms:
Eu 0.000 0.000 0.000
Ag 0.750 0.750 0.750
Ge 0.376 0.376 0.376
Ge 0.376 0.376 0.873
Ge 0.376 0.873 0.376
Ge 0.873 0.376 0.376

(6)
Compound: EuAg2Ge
Source: Alexandria via LeMat-Bulk
Functional: PBE-GGA
Structure: relaxed

Summary:
Volume in Å³ per atom: 21.66
Space group: Fm-3m
Magnetic moment in μB/f.u.: 7.0
D(E_F) in states/eV/cell: 49.06
Density in g/cm³: 8.4
ΔH_f (0 K) in eV/atom: -0.178

Lattice parameters (Å, degrees): 7.025 7.025 7.025 90.00 90.00 90.00
Fractional coordinates of all 16 atoms:
Eu 0.000 0.000 0.000
Eu 0.000 0.500 0.500
Eu 0.500 0.000 0.500
Eu 0.500 0.500 0.000
Ag 0.250 0.250 0.250
Ag 0.250 0.250 0.750
Ag 0.250 0.750 0.250
Ag 0.250 0.750 0.750
Ag 0.750 0.250 0.250
Ag 0.750 0.250 0.750
Ag 0.750 0.750 0.250
Ag 0.750 0.750 0.750
Ge 0.000 0.000 0.500
Ge 0.000 0.500 0.000
Ge 0.500 0.000 0.000
Ge 0.500 0.500 0.500

(7)
Compound: LaEuAgGe
Source: Alexandria via LeMat-Bulk
Functional: PBE-GGA
Structure: relaxed

Summary:
Volume in Å³ per atom: 26.86
Space group: F-43m
Magnetic moment in μB/f.u.: 7.2
D(E_F) in states/eV/cell: 35.36
Density in g/cm³: 7.3
ΔH_f (0 K) in eV/atom: -0.540

Lattice parameters (Å, degrees): 7.546 7.546 7.546 90.00 90.00 90.00
Fractional coordinates of all 16 atoms:
La 0.000 0.000 0.000
La 0.000 0.500 0.500
La 0.500 0.000 0.500
La 0.500 0.500 0.000
Eu 0.000 0.000 0.500
Eu 0.000 0.500 0.000
Eu 0.500 0.000 0.000
Eu 0.500 0.500 0.500
Ag 0.250 0.250 0.250
Ag 0.250 0.750 0.750
Ag 0.750 0.250 0.750
Ag 0.750 0.750 0.250
Ge 0.250 0.250 0.750
Ge 0.250 0.750 0.250
Ge 0.750 0.250 0.250
Ge 0.750 0.750 0.750

(8)
Compound: NaEuAgGe
Source: Alexandria via LeMat-Bulk
Functional: PBE-GGA
Structure: relaxed

Summary:
Volume in Å³ per atom: 24.19
Space group: F-43m
Magnetic moment in μB/f.u.: 6.9
D(E_F) in states/eV/cell: 43.42
Density in g/cm³: 6.1
ΔH_f (0 K) in eV/atom: -0.205

Lattice parameters (Å, degrees): 7.287 7.287 7.287 90.00 90.00 90.00
Fractional coordinates of all 16 atoms:
Na 0.000 0.000 0.000
Na 0.000 0.500 0.500
Na 0.500 0.000 0.500
Na 0.500 0.500 0.000
Eu 0.000 0.000 0.500
Eu 0.000 0.500 0.000
Eu 0.500 0.000 0.000
Eu 0.500 0.500 0.500
Ag 0.250 0.250 0.750
Ag 0.250 0.750 0.250
Ag 0.750 0.250 0.250
Ag 0.750 0.750 0.750
Ge 0.250 0.250 0.250
Ge 0.250 0.750 0.750
Ge 0.750 0.250 0.750
Ge 0.750 0.750 0.250